1.
Sr6Ag2HN: optimized geometry, PBE.

Computed properties:
**Crystal system**: monoclinic
**Calculated density**: 4.19 g/cm³
**VASP energy**: -3.105 eV/atom

a b c (Å): 7.4230 7.7108 10.4820
angles (deg): 90.00 89.95 90.00
Closest atoms and distances in Å follow each position.
Fractional positions:
Sr 0.2136 0.1902 0.4605  1 N 2.62, 1 H 2.90
Sr 0.0767 0.4862 0.7598  1 N 2.58, 1 H 2.78
Sr 0.3107 0.7161 0.4604  1 N 2.63, 1 H 2.88
Sr 0.7864 0.8098 0.5395  1 N 2.62, 1 H 2.90
Sr 0.1893 0.2161 0.0396  1 N 2.63, 1 H 2.88
Sr 0.8107 0.7839 0.9604  1 N 2.63, 1 H 2.88
Sr 0.7136 0.3098 0.9605  1 N 2.62, 1 H 2.90
Sr 0.6893 0.2839 0.5396  1 N 2.63, 1 H 2.88
Sr 0.2864 0.6902 0.0395  1 N 2.62, 1 H 2.90
Sr 0.5767 0.0138 0.2598  1 N 2.58, 1 H 2.78
Sr 0.9233 0.5138 0.2402  1 N 2.58, 1 H 2.78
Sr 0.4233 0.9862 0.7402  1 N 2.58, 1 H 2.78
N 0.0000 0.5000 0.0000  6 Sr 2.58-2.63
N 0.5000 0.0000 0.5000  6 Sr 2.58-2.63
H 0.5000 0.0000 0.0000  6 Sr 2.78-2.90
H 0.0000 0.5000 0.5000  6 Sr 2.78-2.90
Ag 0.5206 0.5613 0.7501  8 Sr 3.27-3.63
Ag 0.0206 0.9387 0.2501  8 Sr 3.27-3.63
Ag 0.4794 0.4387 0.2499  8 Sr 3.27-3.63
Ag 0.9794 0.0613 0.7499  8 Sr 3.27-3.63

2.
In2HgGeI: optimized geometry, PBE.

Computed properties:
**Crystal system**: tetragonal
**Calculated density**: 6.07 g/cm³
**ΔE_f (raw)**: 0.01 eV per atom

a b c (Å): 5.5801 5.5801 5.5332
angles (deg): 90.00 90.00 90.00
Closest atoms and distances in Å follow each position.
Fractional positions:
Ge 0.0000 0.0000 0.0000  2 Hg 2.77, 4 In 2.79
Hg 0.0000 0.0000 0.5000  2 Ge 2.77
I 0.5000 0.5000 0.5000  8 In 3.93, 4 Hg 3.95
In 0.0000 0.5000 0.0000  2 Ge 2.79
In 0.5000 0.0000 0.0000  2 Ge 2.79